Crystalline BaDyMgIn at its relaxed geometry, computed with GGA-PBE.

Unit cell a=5.687 b=5.687 c=5.687 alpha=60.00 beta=60.00 gamma=60.00
Positions (direct):
In  0.500  0.500  0.500
Dy  0.250  0.250  0.250
Mg  0.000  0.000  0.000
Ba  0.750  0.750  0.750

Results
DFT formation energy = -151 meV per atom